Entry from OQMD: a relaxed LaTm2In3CuAg2 crystal (PBE).

Geometry as CIF:
```
data_LaTm2In3CuAg2
_chemical_formula_sum 'La2 Tm4 In6 Cu2 Ag4'
_cell_length_a 3.9277
_cell_length_b 13.6384
_cell_length_c 7.8069
_cell_angle_alpha 90.00
_cell_angle_beta 90.00
_cell_angle_gamma 90.00
_symmetry_space_group_name_H-M 'A m m 2'
_symmetry_Int_Tables_number 38
_symmetry_space_group_name_Hall 'A 2 -2'
loop_
_atom_site_label
_atom_site_fract_x
_atom_site_fract_y
_atom_site_fract_z
_atom_site_occupancy
La1 0.0000 0.0000 0.0000 1
Tm1 0.0000 0.2003 0.6051 1
In1 0.5000 0.0000 0.6522 1
In2 0.5000 0.1271 0.2842 1
Cu1 0.0000 0.0000 0.4088 1
Ag1 0.5000 0.1721 0.9038 1
```

The value obtained for the magnetic moment is 0.0011 μB per atom. Its density is 8.74 g cm⁻³. Its electronic total energy is -35.13 eV/f.u.